Entry from the Alexandria database: crystalline NaVSe2O8 at its relaxed geometry (PBE with a Hubbard U).

abc: 5.6961 5.6961 6.0516
angles: 102.92 102.92 58.84
Positions (direct):
Na 0.0000 0.0000 0.0000
V 0.5000 0.5000 0.5000
Se 0.1888 0.1888 0.6188
Se 0.8112 0.8112 0.3812
O 0.1269 0.6520 0.2849
O 0.1585 0.1585 0.3418
O 0.3480 0.8731 0.7151
O 0.3627 0.3627 0.7324
O 0.6373 0.6373 0.2676
O 0.6520 0.1269 0.2849
O 0.8415 0.8415 0.6582
O 0.8731 0.3480 0.7151

Summary:
Its electronic total energy is -5.659 eV/atom.